## ZrZnTeI2 (GGA-PBE)

Data for an optimized crystal structure of ZrZnTeI2.

Geometry as POSCAR:
```
ZrZnTeI2
1.0
5.358 0.000 0.000
0.000 5.358 0.000
0.000 0.000 5.466
I Zn Te Zr
2 1 1 1
direct
0.000 0.500 0.000
0.500 0.000 0.000
0.000 0.000 0.000
0.000 0.000 0.500
0.500 0.500 0.500
```

Results
offset from the most stable computed form = 624 meV per atom
M_tot = 1.75 μB/cell
V = 31.4 Å³ per atom

=====

## Er3Ge (GGA-PBE)

Data for an optimized crystal structure of Er3Ge.

Geometry as POSCAR:
```
Er3Ge
1.0
-2.354 -2.005 -2.300
3.644 -0.382 -3.397
1.037 -3.448 5.174
Ge Er
1 3
direct
0.000 0.917 0.000
0.292 0.708 0.583
0.500 0.417 0.000
0.708 0.125 0.417
```

Results
DFT formation energy = -0.377 eV/atom
offset from the most stable computed form = 0 meV per atom
M_tot = 0.00 μB/cell
V = 26.3 Å³ per atom

=====

## NaCa2Os (GGA-PBE)

Data for an optimized crystal structure of NaCa2Os.

Geometry as POSCAR:
```
NaCa2Os
1.0
8.238 0.000 0.000
0.000 8.238 0.000
4.119 4.119 5.822
Na Ca Os
2 4 2
direct
0.500 0.500 0.000
0.250 0.750 0.500
0.876 0.125 0.250
0.874 0.625 0.250
0.375 0.124 0.750
0.875 0.126 0.750
0.000 0.000 0.000
0.750 0.250 0.500
```

Results
DFT formation energy = 1.038 eV/atom
offset from the most stable computed form = 585 meV per atom
M_tot = 0.00 μB/cell
V = 49.4 Å³ per atom

=====

## SrZnAs2 (GGA-PBE)

Data for an optimized crystal structure of SrZnAs2.

Geometry as POSCAR:
```
SrZnAs2
1.0
-3.983 -0.306 0.277
0.350 -4.597 -0.038
0.432 -0.462 5.695
As Sr Zn
2 1 1
direct
0.000 0.808 0.023
0.000 0.692 0.477
0.500 0.250 0.250
0.500 0.750 0.750
```

Results
DFT formation energy = -0.506 eV/atom
M_tot = 0.00 μB/cell
V = 26.4 Å³ per atom

=====

## BaAsPd2Pt2 (GGA-PBE)

Data for an optimized crystal structure of BaAsPd2Pt2.

Geometry as POSCAR:
```
BaAsPd2Pt2
1.0
-3.636 3.004 -0.846
0.395 -0.847 -4.700
-3.931 -4.616 0.502
Ba As Pd Pt
1 1 2 2
direct
0.000 0.000 0.500
0.000 0.000 0.000
0.500 0.500 0.767
0.500 0.500 0.233
0.500 0.000 0.000
0.000 0.500 0.000
```

Results
DFT formation energy = -0.199 eV/atom
M_tot = 0.00 μB/cell
V = 23.3 Å³ per atom

=====

## CaTc2Ru (GGA-PBE)

Data for an optimized crystal structure of CaTc2Ru.

Geometry as POSCAR:
```
CaTc2Ru
1.0
-1.317 4.524 2.329
-1.702 -4.443 2.426
1.662 0.069 2.185
Ru Ca Tc
1 1 2
direct
0.500 0.500 0.000
0.000 0.500 0.500
0.000 0.000 0.000
0.500 0.000 0.500
```

Results
DFT formation energy = 0.564 eV/atom
offset from the most stable computed form = 202 meV per atom
M_tot = 0.00 μB/cell
V = 16.3 Å³ per atom